#1
Computed, not measured: Sm2B5 after structural relaxation at the PBE level of DFT.

It has space group Cmmm (No. 65), with a = 3.5043 Å, b = 14.3637 Å, c = 3.8507 Å, α = 90.00°, β = 90.00° and γ = 90.00°. The asymmetric unit holds Sm at (0.0000, 0.1299, 0.0000), B at (0.0000, 0.2789, 0.5000), B at (0.0000, 0.3918, 0.5000) and B at (0.0000, 0.5000, 0.5000).

The calculation puts the total magnetization at 0.0 μB/cell. The value obtained for the volume is 13.84 A^3/atom.

=====

#2
Computed, not measured: Sm2B5 after structural relaxation at the PBE level of DFT.

It has space group P2_1/c (No. 14), with a = 7.2020 Å, b = 7.2060 Å, c = 7.2355 Å, α = 90.00°, β = 101.89° and γ = 90.00°. The asymmetric unit holds Sm at (0.2343, 0.1900, 0.1311), Sm at (0.2404, 0.6837, 0.2586), B at (0.0791, 0.5062, 0.9322), B at (0.3167, 0.5014, 0.9634), B at (0.4975, 0.1725, 0.4598), B at (0.4970, 0.5390, 0.8270) and B at (0.4993, 0.5907, 0.5907).

The calculation puts the total magnetization at 0.0 μB/cell. The value obtained for the volume is 13.12 A^3/atom.

=====

Need the numbers? Relative energies in meV/atom: #1 317; #2 0.

=====

#1
Computed, not measured: SmSnB after structural relaxation at the PBE level of DFT.

It has space group F-43m (No. 216), with a = 6.6763 Å, b = 6.6763 Å, c = 6.6763 Å, α = 90.00°, β = 90.00° and γ = 90.00°. The asymmetric unit holds Sm at (0.0000, 0.0000, 0.0000), Sn at (0.2500, 0.2500, 0.7500) and B at (0.0000, 0.0000, 0.5000).

The calculation puts the total magnetization at 0.1 μB/cell. The value obtained for the volume is 24.80 A^3/atom.

=====

#2
Computed, not measured: SmSnB after structural relaxation at the PBE level of DFT.

It has space group F-43m (No. 216), with a = 6.3068 Å, b = 6.3068 Å, c = 6.3068 Å, α = 90.00°, β = 90.00° and γ = 90.00°. The asymmetric unit holds Sm at (0.0000, 0.0000, 0.0000), Sn at (0.0000, 0.0000, 0.5000) and B at (0.2500, 0.2500, 0.2500).

The calculation puts the total magnetization at 0.0 μB/cell. The value obtained for the volume is 20.90 A^3/atom.

=====

#3
Computed, not measured: SmSnB after structural relaxation at the PBE level of DFT.

It has space group F-43m (No. 216), with a = 6.7588 Å, b = 6.7588 Å, c = 6.7588 Å, α = 90.00°, β = 90.00° and γ = 90.00°. The asymmetric unit holds Sm at (0.0000, 0.0000, 0.0000), Sn at (0.2500, 0.2500, 0.2500) and B at (0.2500, 0.2500, 0.7500).

The calculation puts the total magnetization at 0.0 μB/cell. The value obtained for the volume is 25.73 A^3/atom.

=====

Need the numbers? Relative energies in meV/atom: #1 794; #2 0; #3 693.

=====

#1
Computed, not measured: SrSmB4 after structural relaxation at the PBE level of DFT.

It has space group P6/mmm (No. 191), with a = 3.3320 Å, b = 3.3320 Å, c = 8.3878 Å, α = 90.00°, β = 90.00° and γ = 120.00°. The asymmetric unit holds Sr at (0.0000, 0.0000, 0.0000), Sm at (0.0000, 0.0000, 0.5000) and B at (0.3333, 0.6667, 0.2636).

The calculation puts the total magnetization at 0.1 μB/cell. The value obtained for the volume is 13.44 A^3/atom.

=====

#2
Computed, not measured: SrSmB4 after structural relaxation at the PBE level of DFT.

It has space group Immm (No. 71), with a = 3.1466 Å, b = 7.5308 Å, c = 7.7356 Å, α = 90.00°, β = 90.00° and γ = 90.00°. The asymmetric unit holds Sr at (0.0000, 0.0000, 0.0000), Sm at (0.0000, 0.0000, 0.5000) and B at (0.0000, 0.2697, 0.2474).

The calculation puts the total magnetization at 0.0 μB/cell. The value obtained for the volume is 15.28 A^3/atom.

=====

Need the numbers? Relative energies in meV/atom: #1 123; #2 0.

=====

#1
Computed, not measured: SmTaB after structural relaxation at the PBE level of DFT.

It has space group F-43m (No. 216), with a = 6.4738 Å, b = 6.4738 Å, c = 6.4738 Å, α = 90.00°, β = 90.00° and γ = 90.00°. The asymmetric unit holds Sm at (0.0000, 0.0000, 0.0000), Ta at (0.2500, 0.2500, 0.2500) and B at (0.2500, 0.2500, 0.7500).

The calculation puts the total magnetization at 10.1 μB/cell. The value obtained for the volume is 22.61 A^3/atom.

=====

#2
Computed, not measured: SmTaB after structural relaxation at the PBE level of DFT.

It has space group F-43m (No. 216), with a = 6.0404 Å, b = 6.0404 Å, c = 6.0404 Å, α = 90.00°, β = 90.00° and γ = 90.00°. The asymmetric unit holds Sm at (0.0000, 0.0000, 0.0000), Ta at (0.0000, 0.0000, 0.5000) and B at (0.2500, 0.2500, 0.2500).

The calculation puts the total magnetization at 0.0 μB/cell. The value obtained for the volume is 18.37 A^3/atom.

=====

Need the numbers? Relative energies in meV/atom: #1 1634; #2 0.

=====

#1
Computed, not measured: SmTcB after structural relaxation at the PBE level of DFT.

It has space group R-3m (No. 166, hexagonal axes), with a = 3.7270 Å, b = 3.7270 Å, c = 28.7494 Å, α = 90.00°, β = 90.00° and γ = 120.00°. The asymmetric unit holds Sm at (0.0000, 0.0000, 0.2304), Tc at (0.0000, 0.0000, 0.3684) and B at (0.0000, 0.0000, 0.0369).

The calculation puts the total magnetization at 0.0 μB/cell. The value obtained for the volume is 19.21 A^3/atom.

=====

#2
Computed, not measured: SmTcB after structural relaxation at the PBE level of DFT.

It has space group F-43m (No. 216), with a = 6.1912 Å, b = 6.1912 Å, c = 6.1912 Å, α = 90.00°, β = 90.00° and γ = 90.00°. The asymmetric unit holds Sm at (0.0000, 0.0000, 0.0000), Tc at (0.2500, 0.2500, 0.2500) and B at (0.2500, 0.2500, 0.7500).

The calculation puts the total magnetization at 1.7 μB/cell. The value obtained for the volume is 19.78 A^3/atom.

=====

#3
Computed, not measured: SmTcB after structural relaxation at the PBE level of DFT.

It has space group F-43m (No. 216), with a = 5.9173 Å, b = 5.9173 Å, c = 5.9173 Å, α = 90.00°, β = 90.00° and γ = 90.00°. The asymmetric unit holds Sm at (0.0000, 0.0000, 0.0000), Tc at (0.0000, 0.0000, 0.5000) and B at (0.2500, 0.2500, 0.2500).

The calculation puts the total magnetization at 0.0 μB/cell. The value obtained for the volume is 17.27 A^3/atom.

=====

Need the numbers? Relative energies in meV/atom: #1 0; #2 1616; #3 218.

=====

#1
Computed, not measured: SmTcB4 after structural relaxation at the PBE level of DFT.

It has space group Immm (No. 71), with a = 3.1766 Å, b = 5.4270 Å, c = 7.3150 Å, α = 90.00°, β = 90.00° and γ = 90.00°. The asymmetric unit holds Sm at (0.0000, 0.0000, 0.0000), Tc at (0.0000, 0.0000, 0.5000) and B at (0.0000, 0.3373, 0.2465).

The calculation puts the total magnetization at 0.0 μB/cell. The value obtained for the volume is 10.51 A^3/atom.

=====

#2
Computed, not measured: SmTcB4 after structural relaxation at the PBE level of DFT.

It has space group P6/mmm (No. 191), with a = 3.1655 Å, b = 3.1655 Å, c = 7.1769 Å, α = 90.00°, β = 90.00° and γ = 120.00°. The asymmetric unit holds Sm at (0.0000, 0.0000, 0.0000), Tc at (0.0000, 0.0000, 0.5000) and B at (0.3333, 0.6667, 0.2843).

The calculation puts the total magnetization at 0.0 μB/cell. The value obtained for the volume is 10.38 A^3/atom.

=====

Need the numbers? Relative energies in meV/atom: #1 81; #2 0.

=====

#1
Computed, not measured: SmBTe after structural relaxation at the PBE level of DFT.

It has space group F-43m (No. 216), with a = 6.9249 Å, b = 6.9249 Å, c = 6.9249 Å, α = 90.00°, β = 90.00° and γ = 90.00°. The asymmetric unit holds Sm at (0.0000, 0.0000, 0.0000), B at (0.0000, 0.0000, 0.5000) and Te at (0.2500, 0.2500, 0.7500).

The calculation puts the total magnetization at 0.0 μB/cell. The value obtained for the volume is 27.67 A^3/atom.

=====

#2
Computed, not measured: SmBTe after structural relaxation at the PBE level of DFT.

It has space group F-43m (No. 216), with a = 6.5024 Å, b = 6.5024 Å, c = 6.5024 Å, α = 90.00°, β = 90.00° and γ = 90.00°. The asymmetric unit holds Sm at (0.0000, 0.0000, 0.0000), B at (0.2500, 0.2500, 0.2500) and Te at (0.0000, 0.0000, 0.5000).

The calculation puts the total magnetization at 0.1 μB/cell. The value obtained for the volume is 22.91 A^3/atom.

=====

#3
Computed, not measured: SmBTe after structural relaxation at the PBE level of DFT.

It has space group F-43m (No. 216), with a = 6.9124 Å, b = 6.9124 Å, c = 6.9124 Å, α = 90.00°, β = 90.00° and γ = 90.00°. The asymmetric unit holds Sm at (0.0000, 0.0000, 0.0000), B at (0.2500, 0.2500, 0.7500) and Te at (0.2500, 0.2500, 0.2500).

The calculation puts the total magnetization at 0.1 μB/cell. The value obtained for the volume is 27.52 A^3/atom.

=====

Need the numbers? Relative energies in meV/atom: #1 414; #2 0; #3 309.

=====

#1
Computed, not measured: SmThB4 after structural relaxation at the PBE level of DFT.

It has space group P6/mmm (No. 191), with a = 3.3263 Å, b = 3.3263 Å, c = 8.2327 Å, α = 90.00°, β = 90.00° and γ = 120.00°. The asymmetric unit holds Sm at (0.0000, 0.0000, 0.0000), Th at (0.0000, 0.0000, 0.5000) and B at (0.3333, 0.6667, 0.2451).

The calculation puts the total magnetization at 0.0 μB/cell. The value obtained for the volume is 13.15 A^3/atom.

=====

#2
Computed, not measured: SmThB4 after structural relaxation at the PBE level of DFT.

It has space group Immm (No. 71), with a = 3.3342 Å, b = 5.7638 Å, c = 8.2235 Å, α = 90.00°, β = 90.00° and γ = 90.00°. The asymmetric unit holds Sm at (0.0000, 0.0000, 0.0000), Th at (0.0000, 0.0000, 0.5000) and B at (0.0000, 0.3331, 0.2502).

The calculation puts the total magnetization at 0.0 μB/cell. The value obtained for the volume is 13.17 A^3/atom.

=====

Need the numbers? Relative energies in meV/atom: #1 0; #2 9.

=====

#1
Computed, not measured: SmYB4 after structural relaxation at the PBE level of DFT.

It has space group P6/mmm (No. 191), with a = 3.3131 Å, b = 3.3131 Å, c = 7.8972 Å, α = 90.00°, β = 90.00° and γ = 120.00°. The asymmetric unit holds Sm at (0.0000, 0.0000, 0.0000), Y at (0.0000, 0.0000, 0.5000) and B at (0.3333, 0.6667, 0.2568).

The calculation puts the total magnetization at 0.0 μB/cell. The value obtained for the volume is 12.51 A^3/atom.

=====

#2
Computed, not measured: SmYB4 after structural relaxation at the PBE level of DFT.

It has space group Immm (No. 71), with a = 3.3156 Å, b = 5.7427 Å, c = 7.8971 Å, α = 90.00°, β = 90.00° and γ = 90.00°. The asymmetric unit holds Sm at (0.0000, 0.0000, 0.0000), Y at (0.0000, 0.0000, 0.5000) and B at (0.0000, 0.3335, 0.2492).

The calculation puts the total magnetization at 0.0 μB/cell. The value obtained for the volume is 12.53 A^3/atom.

=====

Need the numbers? Relative energies in meV/atom: #1 0; #2 8.

=====

#1
Computed, not measured: TaSnB4 after structural relaxation at the PBE level of DFT.

It has space group Immm (No. 71), with a = 3.0636 Å, b = 5.4088 Å, c = 7.5177 Å, α = 90.00°, β = 90.00° and γ = 90.00°. The asymmetric unit holds Ta at (0.0000, 0.0000, 0.0000), Sn at (0.0000, 0.0000, 0.5000) and B at (0.0000, 0.3352, 0.2504).

The calculation puts the total magnetization at 0.0 μB/cell. The value obtained for the volume is 10.38 A^3/atom.

=====

#2
Computed, not measured: TaSnB4 after structural relaxation at the PBE level of DFT.

It has space group P6/mmm (No. 191), with a = 3.0578 Å, b = 3.0578 Å, c = 8.6671 Å, α = 90.00°, β = 90.00° and γ = 120.00°. The asymmetric unit holds Ta at (0.0000, 0.0000, 0.0000), Sn at (0.0000, 0.0000, 0.5000) and B at (0.3333, 0.6667, 0.1907).

The calculation puts the total magnetization at 0.0 μB/cell. The value obtained for the volume is 11.70 A^3/atom.

=====

Need the numbers? Relative energies in meV/atom: #1 292; #2 0.

=====

#1
Computed, not measured: TaSnB after structural relaxation at the PBE level of DFT.

It has space group F-43m (No. 216), with a = 5.8051 Å, b = 5.8051 Å, c = 5.8051 Å, α = 90.00°, β = 90.00° and γ = 90.00°. The asymmetric unit holds Ta at (0.0000, 0.0000, 0.0000), Sn at (0.0000, 0.0000, 0.5000) and B at (0.2500, 0.2500, 0.7500).

The calculation puts the total magnetization at 0.2 μB/cell. The value obtained for the volume is 16.30 A^3/atom.

=====

#2
Computed, not measured: TaSnB after structural relaxation at the PBE level of DFT.

It has space group F-43m (No. 216), with a = 6.1735 Å, b = 6.1735 Å, c = 6.1735 Å, α = 90.00°, β = 90.00° and γ = 90.00°. The asymmetric unit holds Ta at (0.0000, 0.0000, 0.0000), Sn at (0.2500, 0.2500, 0.2500) and B at (0.2500, 0.2500, 0.7500).

The calculation puts the total magnetization at 0.0 μB/cell. The value obtained for the volume is 19.61 A^3/atom.

=====

Need the numbers? Relative energies in meV/atom: #1 0; #2 523.

=====

#1
Computed, not measured: TbSnB after structural relaxation at the PBE level of DFT.

It has space group F-43m (No. 216), with a = 6.5963 Å, b = 6.5963 Å, c = 6.5963 Å, α = 90.00°, β = 90.00° and γ = 90.00°. The asymmetric unit holds Tb at (0.0000, 0.0000, 0.0000), Sn at (0.2500, 0.2500, 0.7500) and B at (0.0000, 0.0000, 0.5000).

The calculation puts the total magnetization at 0.0 μB/cell. The value obtained for the volume is 23.92 A^3/atom.

=====

#2
Computed, not measured: TbSnB after structural relaxation at the PBE level of DFT.

It has space group F-43m (No. 216), with a = 6.2159 Å, b = 6.2159 Å, c = 6.2159 Å, α = 90.00°, β = 90.00° and γ = 90.00°. The asymmetric unit holds Tb at (0.0000, 0.0000, 0.0000), Sn at (0.0000, 0.0000, 0.5000) and B at (0.2500, 0.2500, 0.7500).

The calculation puts the total magnetization at 0.0 μB/cell. The value obtained for the volume is 20.01 A^3/atom.

=====

Need the numbers? Relative energies in meV/atom: #1 808; #2 0.